1.
DFT (PBE-GGA) results for Sc5Rh6 after structural relaxation.

Cell: 4.4691 6.3879 7.7474 Å, 114.35 106.72 90.00°
Fractional positions:
1 Sc 0.0000 0.5000 0.0000
2 Sc 0.6696 0.6696 0.3393
3 Sc 0.3304 0.3304 0.6607
4 Sc 0.3446 0.8446 0.6892
5 Sc 0.6554 0.1554 0.3108
6 Rh 0.5000 0.7449 0.0000
7 Rh 0.5000 0.2551 0.0000
8 Rh 0.8338 0.0837 0.6674
9 Rh 0.8338 0.5837 0.6674
10 Rh 0.1662 0.9163 0.3326
11 Rh 0.1662 0.4163 0.3326

Properties
N(E_F) ... 4.59 states/eV per cell
Space-group type ... Immm
Energy of formation from the pure elements ... -0.81 eV per atom

***

2.
DFT (PBE-GGA) results for ScRh4 after structural relaxation.

Cell: 4.6505 5.8354 4.6505 Å, 122.80 68.93 122.80°
Fractional positions:
1 Sc 0.0000 0.0000 0.0000
2 Rh 0.2500 0.5000 0.7500
3 Rh 0.7500 0.5000 0.2500
4 Rh 0.6345 0.2690 0.6345
5 Rh 0.3655 0.7310 0.3655

Properties
ΔE to the lowest computed polymorph ... 351.1 meV/atom
N(E_F) ... 5.92 states/eV per cell
Space-group type ... Fmmm
Energy of formation from the pure elements ... -0.08 eV per atom

***

3.
DFT (PBE-GGA) results for Sc3Rh after structural relaxation.

Cell: 9.5054 9.5054 9.5054 Å, 19.68 19.68 19.68°
Site moments in Bohr magnetons follow the coordinates.
Fractional positions:
1 Rh 0.0000 0.0000 0.0000  0.02
2 Sc 0.2641 0.2641 0.2641  0.03
3 Sc 0.5000 0.5000 0.5000  0.09
4 Sc 0.7359 0.7359 0.7359  0.03

Properties
N(E_F) ... 6.73 states/eV per cell
Space-group type ... R-3m
Energy of formation from the pure elements ... -0.27 eV per atom

***

4.
DFT (PBE-GGA) results for Sc3Rh after structural relaxation.

Cell: 3.2746 3.2746 7.8107 Å, 90.00 90.00 90.00°
Site moments in Bohr magnetons follow the coordinates.
Fractional positions:
1 Sc 0.0000 0.0000 0.5000  0.25
2 Sc 0.5000 0.5000 0.1992  0.07
3 Sc 0.5000 0.5000 0.8008  0.07
4 Rh 0.0000 0.0000 0.0000  0.03

Properties
N(E_F) ... 5.68 states/eV per cell
Space-group type ... P4/mmm
Energy of formation from the pure elements ... -0.46 eV per atom

***

5.
DFT (PBE-GGA) results for Sc3Rh after structural relaxation.

Cell: 4.4399 5.7639 6.2985 Å, 90.00 90.00 90.00°
Fractional positions:
1 Sc 0.5000 0.6047 0.0000
2 Sc 0.0000 0.8351 0.2570
3 Sc 0.5000 0.1649 0.2430
4 Sc 0.0000 0.3953 0.5000
5 Sc 0.0000 0.8351 0.7430
6 Sc 0.5000 0.1649 0.7570
7 Rh 0.0000 0.3096 0.0000
8 Rh 0.5000 0.6904 0.5000

Properties
N(E_F) ... 12.00 states/eV per cell
Space-group type ... Pmmn
Energy of formation from the pure elements ... -0.35 eV per atom

***

6.
DFT (PBE-GGA) results for Sc5Rh3 after structural relaxation.

Cell: 7.8038 7.8038 5.7616 Å, 90.00 90.00 120.00°
Fractional positions:
1 Rh 0.0000 0.4050 0.7500
2 Rh 0.0000 0.5950 0.2500
3 Rh 0.4050 0.0000 0.7500
4 Rh 0.4050 0.4050 0.2500
5 Rh 0.5950 0.0000 0.2500
6 Rh 0.5950 0.5950 0.7500
7 Sc 0.0000 0.2407 0.2500
8 Sc 0.0000 0.7593 0.7500
9 Sc 0.2407 0.0000 0.2500
10 Sc 0.2407 0.2407 0.7500
11 Sc 0.3333 0.6667 0.0000
12 Sc 0.3333 0.6667 0.5000
13 Sc 0.6667 0.3333 0.0000
14 Sc 0.6667 0.3333 0.5000
15 Sc 0.7593 0.0000 0.7500
16 Sc 0.7593 0.7593 0.2500

Properties
ΔE to the lowest computed polymorph ... 10.6 meV/atom
N(E_F) ... 15.32 states/eV per cell
Space-group type ... P6_3/mcm
Energy of formation from the pure elements ... -0.76 eV per atom

***

7.
DFT (PBE-GGA) results for Sc11Rh4 after structural relaxation.

Cell: 9.4787 9.4787 9.4787 Å, 60.00 60.00 60.00°
Fractional positions:
1 Rh 0.5000 0.0000 0.5000
2 Rh 0.0000 0.5000 0.0000
3 Rh 0.0000 0.0000 0.5000
4 Rh 0.5000 0.5000 0.0000
5 Rh 0.0000 0.5000 0.5000
6 Rh 0.5000 0.0000 0.0000
7 Rh 0.5000 0.5000 0.5000
8 Rh 0.0000 0.0000 0.0000
9 Sc 0.1169 0.1169 0.6492
10 Sc 0.1169 0.6492 0.1169
11 Sc 0.1169 0.1169 0.1169
12 Sc 0.6492 0.1169 0.1169
13 Sc 0.8831 0.3508 0.8831
14 Sc 0.8831 0.8831 0.3508
15 Sc 0.8831 0.8831 0.8831
16 Sc 0.3508 0.8831 0.8831
17 Sc 0.3424 0.3424 0.9728
18 Sc 0.3424 0.9728 0.3424
19 Sc 0.3424 0.3424 0.3424
20 Sc 0.9728 0.3424 0.3424
21 Sc 0.6576 0.0272 0.6576
22 Sc 0.6576 0.6576 0.0272
23 Sc 0.6576 0.6576 0.6576
24 Sc 0.0272 0.6576 0.6576
25 Sc 0.6976 0.3024 0.6976
26 Sc 0.3024 0.6976 0.3024
27 Sc 0.3024 0.3024 0.6976
28 Sc 0.6976 0.6976 0.3024
29 Sc 0.3024 0.6976 0.6976
30 Sc 0.6976 0.3024 0.3024

Properties
N(E_F) ... 22.41 states/eV per cell
Space-group type ... Fm-3m
Energy of formation from the pure elements ... -0.58 eV per atom

***

8.
DFT (PBE-GGA) results for Sc2Rh3 after structural relaxation.

Cell: 8.1637 7.1071 5.4441 Å, 79.95 59.01 41.04°
Fractional positions:
1 Sc 0.5244 0.3679 0.8708
2 Sc 0.2368 0.8708 0.3679
3 Sc 0.8821 0.7256 0.0132
4 Sc 0.3792 0.0132 0.7256
5 Rh 0.4341 0.3598 0.4421
6 Rh 0.7640 0.4421 0.3598
7 Rh 0.8902 0.8159 0.4860
8 Rh 0.8079 0.4860 0.8159
9 Rh 0.0407 0.9593 0.9593
10 Rh 0.2907 0.2093 0.2093

Properties
N(E_F) ... 6.20 states/eV per cell
Space-group type ... Fdd2
Energy of formation from the pure elements ... -0.75 eV per atom